No. 1
Na2HgPbF8 (PBE, optimized geometry); M_tot = 0.0 μB per formula unit; crystal system = monoclinic; E_form (uncorrected) = -2.140 eV per atom; calculated volume = 195 Å³/cell; mass density = 5.15 Mg/m³
1.0
-1.133 3.960 2.666
1.900 -2.646 4.177
6.844 2.842 -1.313
Na Hg Pb F
2 1 1 8
direct
0.500 0.500 0.751
0.500 0.500 0.249
0.000 0.000 0.000
0.000 0.000 0.500
0.182 0.802 0.290
0.694 0.713 0.000
0.818 0.198 0.290
0.818 0.198 0.710
0.306 0.287 0.000
0.182 0.802 0.710
0.683 0.719 0.500
0.317 0.281 0.500

***

No. 2
SrTaS3 (PBE, optimized geometry); M_tot = 0.0 μB per formula unit; crystal system = triclinic; E_form (uncorrected) = -1.300 eV per atom; calculated volume = 277 Å³/cell; mass density = 4.37 Mg/m³
1.0
-3.669 -2.699 5.885
6.998 -3.454 -1.878
3.268 -0.396 6.593
Sr Ta S
2 2 6
direct
0.890 0.447 0.239
0.213 0.079 0.225
0.264 0.475 0.520
0.839 0.051 0.944
0.325 0.762 0.230
0.222 0.363 0.892
0.282 0.161 0.571
0.822 0.365 0.893
0.778 0.763 0.234
0.881 0.163 0.571

***

No. 3
Rb4U3GeTe8 (PBE, optimized geometry); M_tot = 8.0 μB per formula unit; crystal system = trigonal; E_form (uncorrected) = -0.774 eV per atom; calculated volume = 615 Å³/cell; mass density = 5.81 Mg/m³
1.0
9.127 0.000 0.000
0.000 10.000 0.603
-4.563 -4.562 6.458
Rb U Ge Te
4 3 1 8
direct
0.500 0.000 0.000
0.500 0.000 0.500
0.000 0.000 0.000
0.000 0.000 0.500
0.500 0.500 0.000
0.500 0.500 0.500
0.000 0.500 0.500
0.000 0.500 0.000
0.230 0.695 0.965
0.230 0.696 0.461
0.266 0.297 0.531
0.735 0.695 0.965
0.265 0.305 0.035
0.734 0.703 0.469
0.770 0.304 0.539
0.770 0.305 0.035

***

No. 4
Ba2MgSb (PBE, optimized geometry); M_tot = 0.0 μB per formula unit; crystal system = orthorhombic; E_form (uncorrected) = -0.547 eV per atom; calculated volume = 160 Å³/cell; mass density = 4.36 Mg/m³
1.0
-2.873 1.830 -2.822
1.424 -2.715 -3.211
-4.204 -8.222 -1.051
Ba Mg Sb
2 1 1
direct
0.000 0.030 0.969
0.000 0.470 0.531
0.500 0.250 0.250
0.500 0.750 0.750

***

No. 5
CsRbBe2Cl6 (PBE, optimized geometry); M_tot = 0.0 μB per formula unit; crystal system = monoclinic; E_form (uncorrected) = -1.681 eV per atom; calculated volume = 718 Å³/cell; mass density = 2.08 Mg/m³
1.0
-3.291 6.232 5.623
-5.870 1.293 -6.721
-2.583 -8.432 3.913
Cs Rb Be Cl
2 2 4 12
direct
0.148 0.852 0.250
0.852 0.148 0.750
0.594 0.406 0.250
0.406 0.594 0.750
0.365 0.134 0.705
0.866 0.635 0.795
0.635 0.866 0.295
0.134 0.365 0.205
0.925 0.400 0.141
0.600 0.075 0.359
0.075 0.600 0.859
0.400 0.925 0.641
0.195 0.185 0.095
0.815 0.805 0.405
0.805 0.815 0.905
0.185 0.195 0.595
0.289 0.520 0.372
0.480 0.711 0.128
0.711 0.480 0.628
0.520 0.289 0.872

***

No. 6
NiIr2W (PBE, optimized geometry); M_tot = 0.0 μB per formula unit; crystal system = cubic; formation enthalpy at 0 K = 0.201 eV per atom; calculated volume = 57 Å³/cell; mass density = 18.13 Mg/m³
1.0
-2.097 3.786 0.137
-1.590 1.460 3.754
1.822 3.416 1.941
Ir Ni W
2 1 1
direct
0.000 0.000 0.000
0.250 0.250 0.250
0.500 0.500 0.500
0.750 0.750 0.750

***

No. 7
LaSmDy2Y2 (PBE, optimized geometry); M_tot = 0.0 μB per formula unit; crystal system = orthorhombic; formation enthalpy at 0 K = 0.265 eV per atom; calculated volume = 406 Å³/cell; mass density = 6.48 Mg/m³
1.0
-1.940 2.249 -1.675
1.437 -3.009 -5.704
-14.285 -10.772 2.083
La Sm Dy Y
2 2 4 4
direct
0.000 0.000 0.000
0.500 0.500 0.500
0.500 0.500 0.000
0.000 0.000 0.500
0.500 0.782 0.352
0.500 0.218 0.648
0.000 0.718 0.852
0.000 0.282 0.148
0.500 0.280 0.313
0.000 0.780 0.187
0.500 0.720 0.687
0.000 0.220 0.813

***

No. 8
SrOs2C (PBE, optimized geometry); M_tot = 0.0 μB per formula unit; crystal system = tetragonal; formation enthalpy at 0 K = 0.746 eV per atom; calculated volume = 164 Å³/cell; mass density = 9.71 Mg/m³
1.0
-4.091 1.198 2.616
-1.646 -4.705 -0.418
0.229 -3.332 6.667
Sr C Os
2 2 4
direct
0.000 0.000 0.000
0.750 0.250 0.500
0.500 0.500 0.000
0.250 0.750 0.500
0.375 0.125 0.250
0.375 0.625 0.250
0.375 0.625 0.750
0.875 0.625 0.750

***

No. 9
LiDy2Pd (PBE, optimized geometry); M_tot = 0.0 μB per formula unit; crystal system = tetragonal; formation enthalpy at 0 K = -0.404 eV per atom; calculated volume = 89 Å³/cell; mass density = 8.15 Mg/m³
1.0
3.654 0.000 0.000
0.000 4.943 0.000
0.000 0.000 4.943
Li Pd Dy
1 1 2
direct
0.500 0.000 0.000
0.500 0.500 0.500
0.000 0.000 0.500
0.000 0.500 0.000

***

No. 10
CdGaP2 (PBE, optimized geometry); M_tot = 0.0 μB per formula unit; crystal system = trigonal; formation enthalpy at 0 K = 0.369 eV per atom; calculated volume = 79 Å³/cell; mass density = 5.12 Mg/m³
1.0
3.050 0.000 0.000
1.525 2.641 0.000
1.525 0.880 9.825
P Ga Cd
2 1 1
direct
0.105 0.105 0.685
0.895 0.895 0.315
0.500 0.500 0.500
0.000 0.000 0.000

***

No. 11
Ac3Zn2Ni9 (PBE, optimized geometry); M_tot = 0.0 μB per formula unit; crystal system = orthorhombic; formation enthalpy at 0 K = -0.232 eV per atom; calculated volume = 247 Å³/cell; mass density = 9.00 Mg/m³
1.0
4.108 0.000 0.000
2.054 7.869 0.036
2.054 1.818 7.656
Ac Zn Ni
3 2 9
direct
0.000 0.000 0.000
0.693 0.307 0.307
0.307 0.693 0.693
0.500 0.276 0.724
0.500 0.724 0.276
0.000 0.500 0.500
0.699 0.006 0.597
0.301 0.994 0.403
0.699 0.597 0.006
0.301 0.403 0.994
0.895 0.829 0.381
0.105 0.171 0.619
0.895 0.381 0.829
0.105 0.619 0.171

***

No. 12
AcPmDyTm (PBE, optimized geometry); M_tot = 0.0 μB per formula unit; crystal system = monoclinic; formation enthalpy at 0 K = 0.065 eV per atom; calculated volume = 140 Å³/cell; mass density = 8.34 Mg/m³
1.0
3.687 0.001 0.000
-1.842 3.192 0.002
-1.839 -1.072 11.894
Ac Pm Dy Tm
1 1 1 1
direct
0.966 0.381 0.364
0.479 0.137 0.632
0.129 0.963 0.104
0.304 0.550 0.870